Record 1
A geometry-optimized HoPuZnCo structure, computed with PBE.

Unit cell a=6.888 b=6.888 c=6.888 alpha=90.00 beta=90.00 gamma=90.00
Space group F-43m (No. 216)
Inequivalent atoms, fractional coordinates:
Ho  0.000  0.000  0.000 (multiplicity 4)
Pu  0.000  0.000  0.500 (multiplicity 4)
Zn  0.250  0.250  0.250 (multiplicity 4)
Co  0.250  0.250  0.750 (multiplicity 4)

Values from the calculation:
For the total energy, the calculation gives -110.30 eV/cell. The value obtained for the density of states at the Fermi level is 29.208 states/eV per cell.

---

Record 2
A geometry-optimized KNaTl structure, computed with PBE.

Unit cell a=4.219 b=4.219 c=12.898 alpha=90.00 beta=90.00 gamma=90.00
Space group I4mm (No. 107)
Inequivalent atoms, fractional coordinates:
K  0.000  0.000  0.000 (multiplicity 2)
Na  0.000  0.000  0.292 (multiplicity 2)
Tl  0.000  0.000  0.680 (multiplicity 2)

Values from the calculation:
For the total energy, the calculation gives -9.79 eV/cell. As for the energy above the most stable polymorph in this dataset: 0.14 eV per formula unit. The value obtained for the density of states at the Fermi level is 5.328 states/eV per cell.

---

Record 3
A geometry-optimized FeTeOs structure, computed with PBE.

Unit cell a=3.1055 b=3.1055 c=6.0875 alpha=90.00 beta=90.00 gamma=120.00
Space group P3m1 (No. 156)
Inequivalent atoms, fractional coordinates:
Fe  0.0000  0.0000  0.0000 (multiplicity 1)
Te  0.6667  0.3333  0.6503 (multiplicity 1)
Os  0.3333  0.6667  0.2974 (multiplicity 1)

Values from the calculation:
For the total energy, the calculation gives -20.69 eV/cell. As for the energy above the most stable polymorph in this dataset: 0.85 eV per formula unit. The value obtained for the density of states at the Fermi level is 3.319 states/eV per cell. The value obtained for the uncorrected formation energy is 714.6 meV/atom.

---

Record 4
A geometry-optimized Ag2TeCl structure, computed with PBE.

Unit cell a=4.082 b=3.455 c=7.109 alpha=90.00 beta=90.16 gamma=90.00
Space group P2/m (No. 10)
Inequivalent atoms, fractional coordinates:
Ag  0.004  0.000  0.207 (multiplicity 2)
Te  0.500  0.500  0.000 (multiplicity 1)
Cl  0.000  0.500  0.500 (multiplicity 1)

Values from the calculation:
For the total energy, the calculation gives -11.29 eV/cell. As for the energy above the most stable polymorph in this dataset: 0.18 eV per formula unit. The value obtained for the density of states at the Fermi level is 1.332 states/eV per cell. The value obtained for the uncorrected formation energy is -149.1 meV/atom.

---

Record 5
A geometry-optimized IrOs3Ru structure, computed with PBE.

Unit cell a=4.576 b=4.576 c=4.576 alpha=90.00 beta=90.00 gamma=90.00
Space group Pm-3m (No. 221)
Inequivalent atoms, fractional coordinates:
Ir  0.000  0.000  0.000 (multiplicity 1)
Os  0.000  0.500  0.500 (multiplicity 3)
Ru  0.500  0.500  0.500 (multiplicity 1)

Values from the calculation:
For the total energy, the calculation gives -38.80 eV/cell. As for the energy above the most stable polymorph in this dataset: 13.11 eV per formula unit. The value obtained for the density of states at the Fermi level is 9.961 states/eV per cell.

---

Record 6
A geometry-optimized Zn5CoCu6 structure, computed with PBE.

Unit cell a=8.160 b=11.379 c=3.686 alpha=90.00 beta=116.67 gamma=90.00
Space group C2/m (No. 12)
Inequivalent atoms, fractional coordinates:
Zn  0.000  0.000  0.000 (multiplicity 2)
Zn  0.000  0.172  0.500 (multiplicity 4)
Zn  0.000  0.342  0.000 (multiplicity 4)
Co  0.000  0.500  0.500 (multiplicity 2)
Cu  0.249  0.000  0.749 (multiplicity 4)
Cu  0.250  0.164  0.250 (multiplicity 8)

Values from the calculation:
For the total energy, the calculation gives -76.81 eV/cell. The value obtained for the density of states at the Fermi level is 12.289 states/eV per cell.

---

Record 7
A geometry-optimized Na2Li3In3 structure, computed with PBE.

Unit cell a=4.225 b=4.565 c=18.868 alpha=90.00 beta=90.00 gamma=90.00
Space group Immm (No. 71)
Inequivalent atoms, fractional coordinates:
Na  0.000  0.000  0.249 (multiplicity 4)
Li  0.000  0.000  0.500 (multiplicity 2)
Li  0.000  0.500  0.393 (multiplicity 4)
In  0.000  0.000  0.000 (multiplicity 2)
In  0.000  0.500  0.116 (multiplicity 4)

Values from the calculation:
For the total energy, the calculation gives -35.80 eV/cell. The value obtained for the density of states at the Fermi level is 4.838 states/eV per cell.

---

Record 8
A geometry-optimized YNb2I structure, computed with PBE.

Unit cell a=4.152 b=4.152 c=21.892 alpha=90.00 beta=90.00 gamma=90.00
Space group I-42d (No. 122)
Inequivalent atoms, fractional coordinates:
Y  0.000  0.000  0.000 (multiplicity 4)
Nb  0.241  0.250  0.625 (multiplicity 8)
I  0.000  0.000  0.500 (multiplicity 4)

Values from the calculation:
For the total energy, the calculation gives -104.04 eV/cell. As for the energy above the most stable polymorph in this dataset: 0.00 eV per formula unit. The value obtained for the density of states at the Fermi level is 4.856 states/eV per cell. The value obtained for the uncorrected formation energy is 535.8 meV/atom.

---

Record 9
A geometry-optimized ZnTcI3 structure, computed with PBE.

Unit cell a=5.569 b=5.569 c=5.569 alpha=90.00 beta=90.00 gamma=90.00
Space group Pm-3m (No. 221)
Inequivalent atoms, fractional coordinates:
Zn  0.000  0.000  0.000 (multiplicity 1)
Tc  0.500  0.500  0.500 (multiplicity 1)
I  0.000  0.500  0.500 (multiplicity 3)

Values from the calculation:
For the total energy, the calculation gives -14.34 eV/cell. As for the energy above the most stable polymorph in this dataset: 0.00 eV per formula unit. The value obtained for the density of states at the Fermi level is 4.257 states/eV per cell. The value obtained for the uncorrected formation energy is 390.9 meV/atom.

---

Record 10
A geometry-optimized Ge2RhAu structure, computed with PBE.

Unit cell a=3.5689 b=3.5689 c=19.7488 alpha=90.00 beta=90.00 gamma=120.00
Space group R3m (No. 160, hexagonal axes)
Inequivalent atoms, fractional coordinates:
Ge  0.0000  0.0000  0.0000 (multiplicity 3)
Ge  0.0000  0.0000  0.1814 (multiplicity 3)
Rh  0.0000  0.0000  0.5794 (multiplicity 3)
Au  0.0000  0.0000  0.4253 (multiplicity 3)

Values from the calculation:
For the total energy, the calculation gives -60.14 eV/cell. As for the energy above the most stable polymorph in this dataset: 0.59 eV per formula unit. The value obtained for the density of states at the Fermi level is 5.566 states/eV per cell.

---

no.,calculated volume (Å³/cell)
1,326.75
2,229.60
3,50.84
4,100.25
5,95.79
6,305.85
7,363.90
8,377.38
9,172.68
10,217.84